VASP calculation (PBE) on an optimized crystal structure of Zr3Cd2Au3.

Geometry as POSCAR:
```
Zr3Cd2Au3
1.0
-4.724 -2.689 -1.063
3.923 -7.271 0.963
-3.575 3.695 6.538
Zr Cd Au
6 4 6
Direct
0.750 0.252 0.000 Zr
0.750 0.748 0.748 Zr
0.750 0.000 0.252 Zr
0.250 0.748 0.000 Zr
0.250 0.252 0.252 Zr
0.250 0.000 0.748 Zr
0.000 0.333 0.667 Cd
0.500 0.667 0.333 Cd
0.000 0.667 0.333 Cd
0.500 0.333 0.667 Cd
0.750 0.613 0.000 Au
0.750 0.387 0.387 Au
0.750 0.000 0.613 Au
0.250 0.387 0.000 Au
0.250 0.613 0.613 Au
0.250 0.000 0.387 Au
```

Values from the calculation:
Uncorrected energy (eV per atom): -5.019
Mass density (g cm⁻³): 10.9
Total magnetic moment (μB/cell): 0.000
DOS(E_F) (states/eV/atom): 0.5641
E_form (eV per formula unit): -2.84